Computed, not measured: crystalline CuPBr3 at its relaxed geometry at the PBE level of DFT.

```
CuPBr3
1.0
5.014 0.000 0.000
0.000 5.014 0.000
0.000 0.000 5.014
P Cu Br
1 1 3
Cartesian
2.507 2.507 2.507 P
0.000 0.000 0.000 Cu
0.000 2.507 0.000 Br
0.000 0.000 2.507 Br
2.507 0.000 0.000 Br
```

Calculated values
* distance to the lowest polymorph of the same formula: 765 meV/atom
* raw formation energy: 248.4 kJ/mol of formula units
* symmetry: No. 221

***

Computed, not measured: crystalline Cs3Ag2I2Br3 at its relaxed geometry at the PBE level of DFT.

```
Cs3Ag2I2Br3
1.0
-3.321 2.251 -3.888
-2.359 -4.988 -0.873
-7.043 4.271 12.504
Cs Ag I Br
3 2 2 3
Cartesian
-5.466 -0.597 0.310 Cs
-7.257 2.131 7.434 Cs
0.000 0.000 0.000 Cs
-8.495 0.293 3.413 Ag
-4.228 1.242 4.331 Ag
-6.602 2.577 3.118 I
-6.121 -1.043 4.626 I
-10.334 0.832 5.296 Br
-2.840 -1.368 -2.380 Br
-2.390 0.702 2.448 Br
```

Calculated values
* raw formation energy: -1088.6 kJ/mol of formula units
* symmetry: No. 139

***

Computed, not measured: crystalline GdLuZn4 at its relaxed geometry at the PBE level of DFT.

```
GdLuZn4
1.0
-1.188 1.384 5.125
2.327 -2.650 4.142
3.727 2.498 3.077
Gd Zn Lu
1 4 1
Cartesian
1.217 0.308 3.086 Gd
1.175 -0.481 6.177 Zn
1.877 2.098 5.643 Zn
3.042 0.771 7.718 Zn
3.638 0.077 5.150 Zn
0.000 0.000 0.000 Lu
```

Calculated values
* energy of formation: -0.325 eV per atom
* symmetry: No. 216

***

Computed, not measured: crystalline PmU2S5 at its relaxed geometry at the PBE level of DFT.

```
PmU2S5
1.0
7.413 0.000 0.000
0.000 7.896 0.000
0.000 0.000 11.922
Pm U S
4 8 20
Cartesian
3.095 1.974 6.040 Pm
4.318 5.922 5.882 Pm
6.802 5.922 11.843 Pm
0.612 1.974 0.079 Pm
3.639 3.951 9.758 U
3.774 3.945 2.164 U
7.346 3.945 8.125 U
3.774 0.003 2.164 U
0.067 3.951 3.797 U
3.639 7.893 9.758 U
0.067 7.893 3.797 U
7.346 0.003 8.125 U
0.216 1.974 5.974 S
7.198 5.922 5.948 S
3.922 5.922 11.909 S
3.491 1.974 0.013 S
2.505 7.535 7.268 S
4.908 0.360 4.654 S
6.212 0.360 10.615 S
4.908 3.587 4.654 S
1.201 7.535 1.307 S
2.505 4.308 7.268 S
1.201 4.308 1.307 S
6.212 3.587 10.615 S
1.555 1.974 9.326 S
5.859 5.922 2.597 S
5.262 5.922 8.558 S
2.152 1.974 3.364 S
5.035 1.974 8.182 S
2.379 5.922 3.741 S
1.328 5.922 9.702 S
6.085 1.974 2.220 S
```

Calculated values
* raw formation energy: -1213.3 kJ/mol of formula units
* symmetry: No. 62